Below is a relaxed structure of Cu2Br3, with properties calculated at the GGA-PBE level.

abc: 8.7372 8.7372 9.7845
angles: 106.67 106.67 24.07
Positions (direct):
1 Cu 0.1265 0.1265 0.4781
2 Cu 0.2925 0.2925 0.1058
3 Cu 0.7075 0.7075 0.8942
4 Cu 0.8735 0.8735 0.5219
5 Br 0.1406 0.1406 0.9791
6 Br 0.2984 0.2984 0.3568
7 Br 0.4418 0.4418 0.6741
8 Br 0.5582 0.5582 0.3259
9 Br 0.7016 0.7016 0.6432
10 Br 0.8594 0.8594 0.0209

Properties
Total energy = -29.215 eV/cell
Total magnetic moment = 0.73 μB/f.u.
Calculated density = 4.183 g/cm3